1.
Al2RePt | Alexandria via LeMat-Bulk | GGA-PBE | optimized geometry; polymorph energy (0 for the lowest one) = 0.000 eV/atom; SG = P4/mmm; total moment = 0.00 μB/f.u.; energy of formation = -0.6012 eV/atom
1.0
-4.213 -0.452 -0.237
0.207 -3.316 2.640
-0.350 1.956 2.484
Re Al Pt
1 2 1
direct
0.000 0.500 0.500 Re
0.000 0.000 0.000 Al
0.500 0.500 0.000 Al
0.500 0.000 0.500 Pt

---

2.
RbY2HgI | Alexandria via LeMat-Bulk | GGA-PBE | optimized geometry; SG = P4/mmm; total moment = 0.00 μB/f.u.; raw formation energy = 0.004 eV/atom
1.0
-2.528 -3.595 -3.577
2.401 -5.539 3.869
-4.703 0.166 3.157
I Y Hg Rb
1 2 1 1
direct
0.500 0.500 0.500 I
0.000 0.000 0.500 Y
0.500 0.000 0.000 Y
0.000 0.000 0.000 Hg
0.000 0.500 0.000 Rb

---

3.
ZrSiSe2 | Alexandria via LeMat-Bulk | GGA-PBE | optimized geometry; SG = P2/m; total moment = 0.00 μB/f.u.; raw formation energy = -0.509 eV/atom
1.0
3.449 0.000 0.000
0.000 3.354 -0.348
0.000 1.135 7.103
Se Si Zr
2 1 1
direct
0.000 0.226 0.967 Se
0.000 0.274 0.533 Se
0.500 0.250 0.250 Si
0.500 0.750 0.750 Zr

---

4.
YGa2Fe | Alexandria via LeMat-Bulk | GGA-PBE | optimized geometry; SG = R-3m; total moment = 0.00 μB/f.u.; energy of formation = -0.3402 eV/atom
1.0
4.094 0.000 0.000
2.047 3.545 0.000
2.047 1.182 5.015
Y Fe Ga
1 1 2
direct
0.000 0.000 0.000 Y
0.500 0.500 0.500 Fe
0.789 0.789 0.634 Ga
0.211 0.211 0.366 Ga